[1]
The following is a PBE calculation of an optimized crystal structure of PaPbCl, from Alexandria via LeMat-Bulk.

## Properties
Calculated volume ... 361 Å³ per cell
M_tot ... 1.14 μB per formula unit
ΔE_f (raw) ... -0.579 eV/atom
Raw total energy ... -0.41128 Ry/atom

Lattice parameters (Å, degrees): 12.3789 3.3531 9.4919 90.00 113.55 90.00
Fractional positions:
Pa  0.2178  0.0000  0.1443
Pa  0.2822  0.5000  0.8557
Pa  0.7178  0.5000  0.1443
Pa  0.7822  0.0000  0.8557
Pb  0.0116  0.5000  0.8402
Pb  0.4884  0.0000  0.1598
Pb  0.5116  0.0000  0.8402
Pb  0.9884  0.5000  0.1598
Cl  0.1650  0.0000  0.6127
Cl  0.3350  0.5000  0.3873
Cl  0.6650  0.5000  0.6127
Cl  0.8350  0.0000  0.3873

---

[2]
The following is a PBE calculation of an optimized crystal structure of PaPb2Cl8, from Alexandria via LeMat-Bulk.

## Properties
Calculated volume ... 315 Å³ per cell
M_tot ... 1.00 μB per formula unit
ΔE_f (raw) ... -1.419 eV/atom
Raw total energy ... -0.31598 Ry/atom

Lattice parameters (Å, degrees): 10.3747 10.3747 6.9033 100.24 100.24 25.52
Fractional positions:
Pa  0.0000  0.0000  0.0000
Pb  0.3340  0.3340  0.3967
Pb  0.6660  0.6660  0.6033
Cl  0.0950  0.0950  0.3808
Cl  0.1242  0.1242  0.9201
Cl  0.2625  0.2625  0.7036
Cl  0.4898  0.4898  0.2239
Cl  0.5102  0.5102  0.7761
Cl  0.7375  0.7375  0.2964
Cl  0.8758  0.8758  0.0799
Cl  0.9050  0.9050  0.6192

---

[3]
The following is a PBE calculation of an optimized crystal structure of PaPbCl2, from Alexandria via LeMat-Bulk.

## Properties
Calculated volume ... 364 Å³ per cell
M_tot ... 0.00 μB per formula unit
ΔE_f (raw) ... -1.054 eV/atom
Raw total energy ... -0.38799 Ry/atom

Lattice parameters (Å, degrees): 3.3944 3.3944 36.5266 90.00 90.00 120.00
Fractional positions:
Pa  0.0000  0.0000  0.0000
Pa  0.3333  0.6667  0.6667
Pa  0.6667  0.3333  0.3333
Pb  0.0000  0.0000  0.5000
Pb  0.3333  0.6667  0.1667
Pb  0.6667  0.3333  0.8333
Cl  0.0000  0.0000  0.3882
Cl  0.0000  0.0000  0.6118
Cl  0.3333  0.6667  0.0548
Cl  0.3333  0.6667  0.2785
Cl  0.6667  0.3333  0.7215
Cl  0.6667  0.3333  0.9452

---

[4]
The following is a PBE calculation of an optimized crystal structure of PaPb2Cl8, from Alexandria via LeMat-Bulk.

## Properties
Calculated volume ... 381 Å³ per cell
M_tot ... 1.02 μB per formula unit
ΔE_f (raw) ... -1.427 eV/atom
Raw total energy ... -0.31662 Ry/atom

Lattice parameters (Å, degrees): 8.1118 8.1118 7.6865 92.15 92.15 48.94
Fractional positions:
Pa  0.0000  0.0000  0.0000
Pb  0.1409  0.1409  0.5217
Pb  0.8591  0.8591  0.4783
Cl  0.1710  0.1710  0.9035
Cl  0.2131  0.7056  0.7437
Cl  0.2944  0.7869  0.2563
Cl  0.3062  0.3062  0.4127
Cl  0.6938  0.6938  0.5873
Cl  0.7056  0.2131  0.7437
Cl  0.7869  0.2944  0.2563
Cl  0.8290  0.8290  0.0965

---

[5]
The following is a PBE calculation of an optimized crystal structure of Pa2PbCl11, from Alexandria via LeMat-Bulk.

## Properties
Calculated volume ... 963 Å³ per cell
M_tot ... 1.00 μB per formula unit
ΔE_f (raw) ... -1.655 eV/atom
Raw total energy ... -0.34747 Ry/atom

Lattice parameters (Å, degrees): 10.8172 10.8172 10.8172 113.21 113.01 102.41
Fractional positions:
Pa  0.1654  0.1658  0.3312
Pa  0.3346  0.6658  0.0003
Pa  0.6654  0.3342  0.9997
Pa  0.8346  0.8342  0.6688
Pb  0.2500  0.7500  0.5000
Pb  0.7500  0.2500  0.5000
Cl  0.0000  0.0000  0.0000
Cl  0.0736  0.8525  0.6564
Cl  0.0834  0.4266  0.7805
Cl  0.1461  0.9266  0.3432
Cl  0.1885  0.8124  0.0009
Cl  0.1961  0.4172  0.3436
Cl  0.3039  0.6475  0.2211
Cl  0.3115  0.3124  0.6239
Cl  0.3539  0.6971  0.7805
Cl  0.4166  0.1971  0.3432
Cl  0.4264  0.0828  0.7789
Cl  0.5000  0.5000  0.0000
Cl  0.5736  0.9172  0.2211
Cl  0.5834  0.8029  0.6568
Cl  0.6461  0.3029  0.2195
Cl  0.6885  0.6876  0.3761
Cl  0.6961  0.3525  0.7789
Cl  0.8039  0.5828  0.6564
Cl  0.8115  0.1876  0.9991
Cl  0.8539  0.0734  0.6568
Cl  0.9166  0.5734  0.2195
Cl  0.9264  0.1475  0.3436

---

[6]
The following is a PBE calculation of an optimized crystal structure of PaPb2S4Cl, from Alexandria via LeMat-Bulk.

## Properties
Calculated volume ... 497 Å³ per cell
M_tot ... 0.00 μB per formula unit
ΔE_f (raw) ... -1.109 eV/atom
Raw total energy ... -0.40557 Ry/atom

Lattice parameters (Å, degrees): 14.2853 4.1258 10.7616 90.00 128.37 90.00
Fractional positions:
Pa  0.0000  0.0000  0.0000
Pa  0.5000  0.5000  0.0000
Pb  0.2027  0.0000  0.6406
Pb  0.2973  0.5000  0.3594
Pb  0.7027  0.5000  0.6406
Pb  0.7973  0.0000  0.3594
S  0.1267  0.5000  0.0144
S  0.1409  0.0000  0.3109
S  0.3591  0.5000  0.6891
S  0.3733  0.0000  0.9856
S  0.6267  0.0000  0.0144
S  0.6409  0.5000  0.3109
S  0.8591  0.0000  0.6891
S  0.8733  0.5000  0.9856
Cl  0.0000  0.5000  0.5000
Cl  0.5000  0.0000  0.5000

---

[7]
The following is a PBE calculation of an optimized crystal structure of PaPdCl6, from Alexandria via LeMat-Bulk.

## Properties
Calculated volume ... 541 Å³ per cell
M_tot ... 0.00 μB per formula unit
ΔE_f (raw) ... -1.419 eV/atom
Raw total energy ... -0.34106 Ry/atom

Lattice parameters (Å, degrees): 7.4352 11.8149 6.9856 90.00 118.07 90.00
Fractional positions:
Pa  0.0000  0.0000  0.0000
Pa  0.5000  0.5000  0.0000
Pd  0.0000  0.0000  0.5000
Pd  0.5000  0.5000  0.5000
Cl  0.0002  0.1549  0.2652
Cl  0.9998  0.1549  0.7348
Cl  0.0002  0.8451  0.2652
Cl  0.9998  0.8451  0.7348
Cl  0.1165  0.5000  0.8085
Cl  0.3835  0.0000  0.1915
Cl  0.5002  0.3451  0.2652
Cl  0.4998  0.3451  0.7348
Cl  0.5002  0.6549  0.2652
Cl  0.4998  0.6549  0.7348
Cl  0.6165  0.0000  0.8085
Cl  0.8835  0.5000  0.1915

---

[8]
The following is a PBE calculation of an optimized crystal structure of Pa2PdCl8, from Alexandria via LeMat-Bulk.

## Properties
Calculated volume ... 417 Å³ per cell
M_tot ... 2.03 μB per formula unit
ΔE_f (raw) ... -1.442 eV/atom
Raw total energy ... -0.36628 Ry/atom

Lattice parameters (Å, degrees): 9.1428 9.1428 5.5072 107.07 107.07 77.71
Fractional positions:
Pa  0.1511  0.1511  0.1483
Pa  0.8489  0.8489  0.8517
Pd  0.0000  0.0000  0.5000
Cl  0.0849  0.6491  0.8668
Cl  0.1745  0.1745  0.6712
Cl  0.3404  0.3404  0.3321
Cl  0.3509  0.9151  0.1332
Cl  0.6491  0.0849  0.8668
Cl  0.6596  0.6596  0.6679
Cl  0.8255  0.8255  0.3288
Cl  0.9151  0.3509  0.1332